# 1
CrPtCl: relaxed, GGA-PBE.

Structure (POSCAR):
```
CrPtCl
1.0
3.243 0.000 0.000
0.000 5.330 3.578
0.000 -5.330 3.578
Cr Pt Cl
2 2 2
Direct
0.000 0.087 0.913 Cr
0.000 0.913 0.087 Cr
0.500 0.140 0.374 Pt
0.500 0.374 0.140 Pt
0.500 0.623 0.926 Cl
0.500 0.926 0.623 Cl
```

## Properties
Crystal system ... orthorhombic
DOS(E_F) ... 0.8 states/eV per cell
Energy relative to the elements, uncorrected ... -0.08 eV per atom
Distance to the lowest polymorph of the same formula ... 98.0 meV per atom
Magnetic moment ... 0.00 μB/f.u.

# 2
CrPtCl2: relaxed, GGA-PBE.

Structure (POSCAR):
```
CrPtCl2
1.0
1.522 0.878 9.248
-1.522 0.878 9.248
0.000 -1.757 9.248
Cr Pt Cl
1 1 2
Direct
0.000 0.000 0.000 Cr
0.500 0.500 0.500 Pt
0.278 0.278 0.278 Cl
0.722 0.722 0.722 Cl
```

## Properties
Crystal system ... trigonal
DOS(E_F) ... 4.1 states/eV per cell
Energy relative to the elements, uncorrected ... 0.06 eV per atom
Distance to the lowest polymorph of the same formula ... 367.8 meV per atom
Magnetic moment ... 2.88 μB/f.u.